Entry 1:
The following is a DFT calculation (PBE-GGA) of a geometry-optimized Er3Al2Hg2 structure.

a = 11.022 Å, b = 11.022 Å, c = 3.447 Å
α = 90.00°, β = 90.00°, γ = 157.19°
Element x y z (fractional)
Er (0.000, 0.000, 0.000)
Er (0.161, 0.839, 0.000)
Er (0.839, 0.161, 0.000)
Al (0.282, 0.718, 0.500)
Al (0.718, 0.282, 0.500)
Hg (0.420, 0.580, 0.500)
Hg (0.580, 0.420, 0.500)

Total magnetic moment ... 0.0 μB/cell
Crystal system ... orthorhombic



Entry 2:
The following is a DFT calculation (PBE-GGA) of a geometry-optimized Er12Al5Hg2 structure.

a = 8.555 Å, b = 8.555 Å, c = 8.284 Å
α = 92.16°, β = 92.16°, γ = 58.56°
Element x y z (fractional)
Er (0.039, 0.039, 0.199)
Er (0.081, 0.636, 0.084)
Er (0.128, 0.525, 0.658)
Er (0.364, 0.919, 0.916)
Er (0.441, 0.441, 0.338)
Er (0.475, 0.872, 0.342)
Er (0.525, 0.128, 0.658)
Er (0.559, 0.559, 0.662)
Er (0.636, 0.081, 0.084)
Er (0.872, 0.475, 0.342)
Er (0.919, 0.364, 0.916)
Er (0.961, 0.961, 0.801)
Al (0.153, 0.153, 0.578)
Al (0.243, 0.243, 0.189)
Al (0.500, 0.500, 0.000)
Al (0.757, 0.757, 0.811)
Al (0.847, 0.847, 0.422)
Hg (0.194, 0.806, 0.500)
Hg (0.806, 0.194, 0.500)

Total magnetic moment ... 0.0 μB/cell
Crystal system ... monoclinic



Entry 3:
The following is a DFT calculation (PBE-GGA) of a geometry-optimized Er6AlHg2 structure.

a = 8.619 Å, b = 8.619 Å, c = 8.619 Å
α = 110.59°, β = 109.38°, γ = 108.45°
Element x y z (fractional)
Er (0.056, 0.230, 0.827)
Er (0.253, 0.305, 0.558)
Er (0.253, 0.695, 0.948)
Er (0.264, 0.588, 0.323)
Er (0.264, 0.941, 0.677)
Er (0.403, 0.230, 0.173)
Er (0.597, 0.770, 0.827)
Er (0.736, 0.059, 0.323)
Er (0.736, 0.412, 0.677)
Er (0.747, 0.305, 0.052)
Er (0.747, 0.695, 0.442)
Er (0.944, 0.770, 0.173)
Al (0.000, 0.500, 0.500)
Al (0.500, 0.500, 0.000)
Hg (0.000, 0.151, 0.151)
Hg (0.000, 0.849, 0.849)
Hg (0.358, 0.000, 0.358)
Hg (0.642, 0.000, 0.642)

Total magnetic moment ... 0.0 μB/cell
Crystal system ... orthorhombic



Entry 4:
The following is a DFT calculation (PBE-GGA) of a geometry-optimized Er2AlHg4 structure.

a = 5.210 Å, b = 5.210 Å, c = 7.726 Å
α = 108.20°, β = 108.20°, γ = 58.83°
Element x y z (fractional)
Er (0.219, 0.219, 0.165)
Er (0.781, 0.781, 0.835)
Al (0.500, 0.500, 0.000)
Hg (0.081, 0.081, 0.736)
Hg (0.367, 0.367, 0.597)
Hg (0.633, 0.633, 0.403)
Hg (0.919, 0.919, 0.264)

Total magnetic moment ... 0.0 μB/cell
Crystal system ... monoclinic



Entry 5:
The following is a DFT calculation (PBE-GGA) of a geometry-optimized Er4Al2Hg5 structure.

a = 7.774 Å, b = 3.643 Å, c = 9.359 Å
α = 90.00°, β = 90.42°, γ = 90.00°
Element x y z (fractional)
Er (0.200, 0.000, 0.367)
Er (0.254, 0.000, 0.909)
Er (0.746, 0.000, 0.091)
Er (0.800, 0.000, 0.633)
Al (0.066, 0.500, 0.126)
Al (0.934, 0.500, 0.874)
Hg (0.140, 0.500, 0.637)
Hg (0.425, 0.500, 0.163)
Hg (0.500, 0.500, 0.500)
Hg (0.575, 0.500, 0.837)
Hg (0.860, 0.500, 0.363)

Total magnetic moment ... 0.0 μB/cell
Crystal system ... monoclinic



Entry 6:
The following is a DFT calculation (PBE-GGA) of a geometry-optimized Er5AlHg4 structure.

a = 3.670 Å, b = 3.670 Å, c = 18.321 Å
α = 90.00°, β = 90.00°, γ = 90.00°
Element x y z (fractional)
Er (0.000, 0.000, 0.000)
Er (0.000, 0.000, 0.203)
Er (0.000, 0.000, 0.405)
Er (0.000, 0.000, 0.595)
Er (0.000, 0.000, 0.797)
Al (0.500, 0.500, 0.500)
Hg (0.500, 0.500, 0.102)
Hg (0.500, 0.500, 0.305)
Hg (0.500, 0.500, 0.695)
Hg (0.500, 0.500, 0.898)

Total magnetic moment ... 0.0 μB/cell
Crystal system ... tetragonal



Entry 7:
The following is a DFT calculation (PBE-GGA) of a geometry-optimized Er4AlHg structure.

a = 8.183 Å, b = 8.183 Å, c = 6.164 Å
α = 105.05°, β = 105.05°, γ = 112.51°
Element x y z (fractional)
Er (0.059, 0.688, 0.911)
Er (0.232, 0.376, 0.704)
Er (0.312, 0.941, 0.589)
Er (0.376, 0.232, 0.204)
Er (0.624, 0.768, 0.796)
Er (0.688, 0.059, 0.411)
Er (0.768, 0.624, 0.296)
Er (0.941, 0.312, 0.089)
Al (0.370, 0.630, 0.250)
Al (0.630, 0.370, 0.750)
Hg (0.001, 0.999, 0.750)
Hg (0.999, 0.001, 0.250)

Total magnetic moment ... 0.0 μB/cell
Crystal system ... monoclinic



Entry 8:
The following is a DFT calculation (PBE-GGA) of a geometry-optimized Er3Al4Hg2 structure.

a = 5.827 Å, b = 5.827 Å, c = 8.725 Å
α = 112.91°, β = 112.91°, γ = 46.53°
Element x y z (fractional)
Er (0.000, 0.000, 0.000)
Er (0.334, 0.334, 0.332)
Er (0.666, 0.666, 0.668)
Al (0.042, 0.042, 0.379)
Al (0.263, 0.263, 0.934)
Al (0.737, 0.737, 0.066)
Al (0.958, 0.958, 0.621)
Hg (0.386, 0.386, 0.721)
Hg (0.614, 0.614, 0.279)

Total magnetic moment ... 0.0 μB/cell
Crystal system ... monoclinic



Number 1: energy -24.8 eV/f.u.. Number 2: energy -75.8 eV/f.u.. Number 3: energy -34.0 eV/f.u.. Number 4: energy -15.8 eV/f.u.. Number 5: energy -31.4 eV/f.u.. Number 6: energy -32.3 eV/f.u.. Number 7: energy -23.3 eV/f.u.. Number 8: energy -33.3 eV/f.u..